[1]
Entry from Alexandria via LeMat-Bulk: a relaxed structure of Er2InPb (PBE).

Geometry as CIF:
```
data_Er2InPb
_cell_length_a 3.5013
_cell_length_b 3.5013
_cell_length_c 8.7801
_cell_angle_alpha 90.00
_cell_angle_beta 90.00
_cell_angle_gamma 90.00
_space_group_name_H-M_alt 'P 1'
_space_group_IT_number 1
loop_
_space_group_symop_operation_xyz
'x,y,z'
loop_
_atom_site_label
_atom_site_fract_x
_atom_site_fract_y
_atom_site_fract_z
_atom_site_occupancy
Pb1 0.5000 0.5000 0.5000 1
In1 0.5000 0.5000 0.0000 1
Er1 0.0000 0.0000 0.7594 1
Er2 0.0000 0.0000 0.2406 1
```

SG: No. 123
total magnetization: 0.00 μB/atom
energy of formation from the pure elements: -0.41 eV per atom

---

[2]
Entry from Alexandria via LeMat-Bulk: a relaxed structure of ErInPb2 (PBE).

Geometry as CIF:
```
data_ErInPb2
_cell_length_a 3.4685
_cell_length_b 3.4685
_cell_length_c 12.1256
_cell_angle_alpha 81.78
_cell_angle_beta 81.78
_cell_angle_gamma 60.00
_space_group_name_H-M_alt 'P 1'
_space_group_IT_number 1
loop_
_space_group_symop_operation_xyz
'x,y,z'
loop_
_atom_site_label
_atom_site_fract_x
_atom_site_fract_y
_atom_site_fract_z
_atom_site_occupancy
Pb1 0.0883 0.0883 0.7350 1
Pb2 0.9117 0.9117 0.2650 1
In1 0.5000 0.5000 0.5000 1
Er1 0.0000 0.0000 0.0000 1
```

SG: No. 166
total magnetization: 0.00 μB/atom
energy of formation from the pure elements: 0.11 eV per atom

---

[3]
Entry from Alexandria via LeMat-Bulk: a relaxed structure of ErIn2Pb (PBE).

Geometry as CIF:
```
data_ErIn2Pb
_cell_length_a 3.9173
_cell_length_b 3.9173
_cell_length_c 7.0934
_cell_angle_alpha 90.00
_cell_angle_beta 90.00
_cell_angle_gamma 90.00
_space_group_name_H-M_alt 'P 1'
_space_group_IT_number 1
loop_
_space_group_symop_operation_xyz
'x,y,z'
loop_
_atom_site_label
_atom_site_fract_x
_atom_site_fract_y
_atom_site_fract_z
_atom_site_occupancy
Pb1 0.5000 0.5000 0.5000 1
In1 0.0000 0.0000 0.7470 1
In2 0.0000 0.0000 0.2530 1
Er1 0.5000 0.5000 0.0000 1
```

SG: No. 123
total magnetization: 0.00 μB/atom
energy of formation from the pure elements: -0.17 eV per atom
polymorph energy (0 for the lowest one): 0.147 eV per atom

---

[4]
Entry from Alexandria via LeMat-Bulk: a relaxed structure of PmErInPb (PBE).

Geometry as CIF:
```
data_PmErInPb
_cell_length_a 5.4317
_cell_length_b 5.4317
_cell_length_c 5.4317
_cell_angle_alpha 60.00
_cell_angle_beta 60.00
_cell_angle_gamma 60.00
_space_group_name_H-M_alt 'P 1'
_space_group_IT_number 1
loop_
_space_group_symop_operation_xyz
'x,y,z'
loop_
_atom_site_label
_atom_site_fract_x
_atom_site_fract_y
_atom_site_fract_z
_atom_site_occupancy
Pb1 0.7500 0.7500 0.7500 1
Pm1 0.0000 0.0000 0.0000 1
In1 0.2500 0.2500 0.2500 1
Er1 0.5000 0.5000 0.5000 1
```

SG: No. 216
total magnetization: 0.00 μB/atom
energy of formation from the pure elements: -0.41 eV per atom
polymorph energy (0 for the lowest one): 0.045 eV per atom

---

[5]
Entry from Alexandria via LeMat-Bulk: a relaxed structure of PmErInPb (PBE).

Geometry as CIF:
```
data_PmErInPb
_cell_length_a 5.0017
_cell_length_b 5.0016
_cell_length_c 5.7001
_cell_angle_alpha 116.03
_cell_angle_beta 116.02
_cell_angle_gamma 90.00
_space_group_name_H-M_alt 'P 1'
_space_group_IT_number 1
loop_
_space_group_symop_operation_xyz
'x,y,z'
loop_
_atom_site_label
_atom_site_fract_x
_atom_site_fract_y
_atom_site_fract_z
_atom_site_occupancy
Pm1 0.5000 0.4999 0.0000 1
Er1 0.0000 0.0001 0.0000 1
In1 0.2500 0.7500 0.5000 1
Pb1 0.7500 0.2500 0.5000 1
```

SG: No. 119
total magnetization: 0.00 μB/atom
energy of formation from the pure elements: -0.45 eV per atom
polymorph energy (0 for the lowest one): 0.000 eV per atom

---

[6]
Entry from Alexandria via LeMat-Bulk: a relaxed structure of Er5InRu2Pb2 (PBE).

Geometry as CIF:
```
data_Er5InRu2Pb2
_cell_length_a 3.6402
_cell_length_b 11.8339
_cell_length_c 11.8339
_cell_angle_alpha 90.00
_cell_angle_beta 90.00
_cell_angle_gamma 90.00
_space_group_name_H-M_alt 'P 1'
_space_group_IT_number 1
loop_
_space_group_symop_operation_xyz
'x,y,z'
loop_
_atom_site_label
_atom_site_fract_x
_atom_site_fract_y
_atom_site_fract_z
_atom_site_occupancy
Er1 0.5000 0.2092 0.0734 1
Er2 0.5000 0.7908 0.9266 1
Er3 0.5000 0.0734 0.7908 1
Er4 0.5000 0.7092 0.4266 1
Er5 0.5000 0.9266 0.2092 1
Er6 0.5000 0.2908 0.5734 1
Er7 0.5000 0.5734 0.7092 1
Er8 0.5000 0.4266 0.2908 1
Er9 0.5000 0.5000 0.0000 1
Er10 0.5000 0.0000 0.5000 1
In1 0.0000 0.0000 0.0000 1
In2 0.0000 0.5000 0.5000 1
Ru1 0.0000 0.1305 0.6305 1
Ru2 0.0000 0.8695 0.3695 1
Ru3 0.0000 0.6305 0.8695 1
Ru4 0.0000 0.3695 0.1305 1
Pb1 0.0000 0.6767 0.1767 1
Pb2 0.0000 0.3233 0.8233 1
Pb3 0.0000 0.1767 0.3233 1
Pb4 0.0000 0.8233 0.6767 1
```

SG: No. 127
total magnetization: 0.00 μB/atom
energy of formation from the pure elements: -0.36 eV per atom

---

[7]
Entry from Alexandria via LeMat-Bulk: a relaxed structure of ErIn2PbS4 (PBE).

Geometry as CIF:
```
data_ErIn2PbS4
_cell_length_a 3.9871
_cell_length_b 7.2265
_cell_length_c 7.3485
_cell_angle_alpha 72.15
_cell_angle_beta 90.00
_cell_angle_gamma 90.00
_space_group_name_H-M_alt 'P 1'
_space_group_IT_number 1
loop_
_space_group_symop_operation_xyz
'x,y,z'
loop_
_atom_site_label
_atom_site_fract_x
_atom_site_fract_y
_atom_site_fract_z
_atom_site_occupancy
Er1 0.0000 0.5000 0.5000 1
In1 0.0000 0.0000 0.0000 1
In2 0.5000 0.0000 0.5000 1
Pb1 0.5000 0.5000 0.0000 1
S1 0.0000 0.7458 0.7215 1
S2 0.0000 0.2542 0.2785 1
S3 0.5000 0.7216 0.2876 1
S4 0.5000 0.2784 0.7124 1
```

ΔE_f (raw): -0.8887 eV/atom
SG: No. 10
total magnetization: 0.00 μB/atom

---

[8]
Entry from Alexandria via LeMat-Bulk: a relaxed structure of ErInPb2S5 (PBE).

Geometry as CIF:
```
data_ErInPb2S5
_cell_length_a 3.9927
_cell_length_b 9.0607
_cell_length_c 12.9859
_cell_angle_alpha 90.00
_cell_angle_beta 90.00
_cell_angle_gamma 102.73
_space_group_name_H-M_alt 'P 1'
_space_group_IT_number 1
loop_
_space_group_symop_operation_xyz
'x,y,z'
loop_
_atom_site_label
_atom_site_fract_x
_atom_site_fract_y
_atom_site_fract_z
_atom_site_occupancy
Er1 0.7935 0.5870 0.5228 1
Er2 0.2065 0.4130 0.0228 1
In1 0.5468 0.0935 0.9372 1
In2 0.4532 0.9065 0.4372 1
Pb1 0.8685 0.7369 0.8125 1
Pb2 0.1265 0.2531 0.6648 1
Pb3 0.1315 0.2631 0.3125 1
Pb4 0.8735 0.7469 0.1648 1
S1 0.3576 0.7151 0.0132 1
S2 0.6861 0.3723 0.8818 1
S3 0.4821 0.9642 0.7728 1
S4 0.2884 0.5768 0.6662 1
S5 0.9529 0.9058 0.5527 1
S6 0.6424 0.2849 0.5132 1
S7 0.3139 0.6277 0.3818 1
S8 0.5179 0.0358 0.2728 1
S9 0.7116 0.4232 0.1662 1
S10 0.0471 0.0942 0.0527 1
```

ΔE_f (raw): -0.9567 eV/atom
SG: No. 36
total magnetization: 0.00 μB/atom

---

[9]
Entry from Alexandria via LeMat-Bulk: a relaxed structure of SmErInPb (PBE).

Geometry as CIF:
```
data_SmErInPb
_cell_length_a 5.4192
_cell_length_b 5.4192
_cell_length_c 5.4192
_cell_angle_alpha 60.00
_cell_angle_beta 60.00
_cell_angle_gamma 60.00
_space_group_name_H-M_alt 'P 1'
_space_group_IT_number 1
loop_
_space_group_symop_operation_xyz
'x,y,z'
loop_
_atom_site_label
_atom_site_fract_x
_atom_site_fract_y
_atom_site_fract_z
_atom_site_occupancy
Pb1 0.5000 0.5000 0.5000 1
In1 0.0000 0.0000 0.0000 1
Sm1 0.2500 0.2500 0.2500 1
Er1 0.7500 0.7500 0.7500 1
```

SG: No. 216
total magnetization: 0.00 μB/atom
energy of formation from the pure elements: -0.41 eV per atom
polymorph energy (0 for the lowest one): 0.045 eV per atom

---

[10]
Entry from Alexandria via LeMat-Bulk: a relaxed structure of SmErInPb (PBE).

Geometry as CIF:
```
data_SmErInPb
_cell_length_a 4.9911
_cell_length_b 4.9912
_cell_length_c 5.6877
_cell_angle_alpha 116.03
_cell_angle_beta 116.03
_cell_angle_gamma 90.00
_space_group_name_H-M_alt 'P 1'
_space_group_IT_number 1
loop_
_space_group_symop_operation_xyz
'x,y,z'
loop_
_atom_site_label
_atom_site_fract_x
_atom_site_fract_y
_atom_site_fract_z
_atom_site_occupancy
Sm1 0.7500 0.2500 0.5000 1
Er1 0.2500 0.7500 0.5000 1
In1 0.0000 0.0000 0.0000 1
Pb1 0.5000 0.5000 0.0000 1
```

SG: No. 119
total magnetization: 0.00 μB/atom
energy of formation from the pure elements: -0.45 eV per atom
polymorph energy (0 for the lowest one): 0.000 eV per atom

---

[11]
Entry from Alexandria via LeMat-Bulk: a relaxed structure of ErIn2Te4Pb (PBE).

Geometry as CIF:
```
data_ErIn2Te4Pb
_cell_length_a 4.4308
_cell_length_b 8.0273
_cell_length_c 7.9500
_cell_angle_alpha 71.36
_cell_angle_beta 90.00
_cell_angle_gamma 90.00
_space_group_name_H-M_alt 'P 1'
_space_group_IT_number 1
loop_
_space_group_symop_operation_xyz
'x,y,z'
loop_
_atom_site_label
_atom_site_fract_x
_atom_site_fract_y
_atom_site_fract_z
_atom_site_occupancy
Er1 0.0000 0.5000 0.5000 1
In1 0.0000 0.0000 0.0000 1
In2 0.5000 0.0000 0.5000 1
Te1 0.0000 0.7453 0.7311 1
Te2 0.0000 0.2547 0.2689 1
Te3 0.5000 0.7315 0.2728 1
Te4 0.5000 0.2685 0.7272 1
Pb1 0.5000 0.5000 0.0000 1
```

ΔE_f (raw): -0.6248 eV/atom
SG: No. 10
total magnetization: 0.00 μB/atom

---

[12]
Entry from Alexandria via LeMat-Bulk: a relaxed structure of ErInTe5Pb2 (PBE).

Geometry as CIF:
```
data_ErInTe5Pb2
_cell_length_a 4.4022
_cell_length_b 10.3259
_cell_length_c 14.2669
_cell_angle_alpha 90.00
_cell_angle_beta 90.00
_cell_angle_gamma 102.31
_space_group_name_H-M_alt 'P 1'
_space_group_IT_number 1
loop_
_space_group_symop_operation_xyz
'x,y,z'
loop_
_atom_site_label
_atom_site_fract_x
_atom_site_fract_y
_atom_site_fract_z
_atom_site_occupancy
Er1 0.8031 0.6061 0.5221 1
Er2 0.1969 0.3939 0.0221 1
In1 0.5532 0.1064 0.9306 1
In2 0.4468 0.8936 0.4306 1
Te1 0.3481 0.6962 0.0134 1
Te2 0.6889 0.3779 0.8698 1
Te3 0.4788 0.9577 0.7676 1
Te4 0.2974 0.5948 0.6738 1
Te5 0.9584 0.9167 0.5543 1
Te6 0.6519 0.3038 0.5134 1
Te7 0.3111 0.6221 0.3698 1
Te8 0.5212 0.0423 0.2676 1
Te9 0.7026 0.4052 0.1738 1
Te10 0.0416 0.0833 0.0543 1
Pb1 0.8741 0.7483 0.8246 1
Pb2 0.1451 0.2902 0.6678 1
Pb3 0.1259 0.2517 0.3246 1
Pb4 0.8549 0.7098 0.1678 1
```

ΔE_f (raw): -0.6206 eV/atom
SG: No. 36
total magnetization: 0.00 μB/atom